No. 1
Material: Li2Ca2MgPd5
Method: DFT, PBE
State: relaxed

Cell lengths 9.615, 9.615, 3.742 Å; angles 90.00, 90.00, 90.00 degrees
Space group P4/mbm (No. 127)
Symmetry-distinct sites (fractional):
Li1 0.121 0.379 0.000 [4 per cell]
Ca1 0.178 0.678 0.000 [4 per cell]
Mg1 0.000 0.000 0.000 [2 per cell]
Pd1 0.000 0.500 0.500 [2 per cell]
Pd2 0.063 0.206 0.500 [8 per cell]

Calculated values
Formation energy = -0.603 eV/atom
D(E_F) = 0.264 states/eV/atom

=====

No. 2
Material: LiCa2MgPd
Method: DFT, PBE
State: relaxed

Cell lengths 5.561, 5.561, 4.879 Å; angles 90.00, 90.00, 90.00 degrees
Space group P4/mmm (No. 123)
Symmetry-distinct sites (fractional):
Li1 0.000 0.000 0.000 [1 per cell]
Ca1 0.000 0.500 0.500 [2 per cell]
Mg1 0.500 0.500 0.000 [1 per cell]
Pd1 0.000 0.000 0.500 [1 per cell]

Calculated values
Formation energy = -0.169 eV/atom
D(E_F) = 0.625 states/eV/atom

=====

No. 3
Material: LiCa2MgPd
Method: DFT, PBE
State: relaxed

Cell lengths 5.542, 5.542, 5.165 Å; angles 90.00, 90.00, 90.00 degrees
Space group P4/mmm (No. 123)
Symmetry-distinct sites (fractional):
Li1 0.000 0.000 0.000 [1 per cell]
Ca1 0.000 0.500 0.500 [2 per cell]
Mg1 0.500 0.500 0.000 [1 per cell]
Pd1 0.500 0.500 0.500 [1 per cell]

Calculated values
Formation energy = -0.235 eV/atom
D(E_F) = 0.336 states/eV/atom

=====

No. 4
Material: Li2Ca2PmMg5
Method: DFT, PBE
State: relaxed

Cell lengths 10.849, 10.849, 4.565 Å; angles 90.00, 90.00, 90.00 degrees
Space group P4/mbm (No. 127)
Symmetry-distinct sites (fractional):
Li1 0.116 0.384 0.000 [4 per cell]
Ca1 0.180 0.680 0.000 [4 per cell]
Pm1 0.000 0.000 0.000 [2 per cell]
Mg1 0.000 0.500 0.500 [2 per cell]
Mg2 0.064 0.214 0.500 [8 per cell]

Calculated values
Formation energy = -0.053 eV/atom
D(E_F) = 0.866 states/eV/atom

=====

No. 5
Material: LiCaPmMg
Method: DFT, PBE
State: relaxed

Cell lengths 7.786, 7.786, 7.786 Å; angles 90.00, 90.00, 90.00 degrees
Space group F-43m (No. 216)
Symmetry-distinct sites (fractional):
Li1 0.000 0.000 0.000 [4 per cell]
Ca1 0.250 0.250 0.250 [4 per cell]
Pm1 0.250 0.250 0.750 [4 per cell]
Mg1 0.000 0.000 0.500 [4 per cell]

Calculated values
Formation energy = 0.008 eV/atom
D(E_F) = 0.888 states/eV/atom

=====

No. 6
Material: Li2Ca2PrMg5
Method: DFT, PBE
State: relaxed

Cell lengths 10.802, 10.802, 4.655 Å; angles 90.00, 90.00, 90.00 degrees
Space group P4/mbm (No. 127)
Symmetry-distinct sites (fractional):
Li1 0.115 0.385 0.000 [4 per cell]
Ca1 0.180 0.680 0.000 [4 per cell]
Pr1 0.000 0.000 0.000 [2 per cell]
Mg1 0.000 0.500 0.500 [2 per cell]
Mg2 0.063 0.214 0.500 [8 per cell]

Calculated values
Formation energy = -0.056 eV/atom
D(E_F) = 0.866 states/eV/atom

=====

No. 7
Material: Li2CaPr2Mg5
Method: DFT, PBE
State: relaxed

Cell lengths 10.860, 10.860, 4.511 Å; angles 90.00, 90.00, 90.00 degrees
Space group P4/mbm (No. 127)
Symmetry-distinct sites (fractional):
Li1 0.114 0.386 0.000 [4 per cell]
Ca1 0.000 0.000 0.000 [2 per cell]
Pr1 0.180 0.680 0.000 [4 per cell]
Mg1 0.000 0.500 0.500 [2 per cell]
Mg2 0.064 0.219 0.500 [8 per cell]

Calculated values
Formation energy = -0.054 eV/atom
D(E_F) = 1.045 states/eV/atom

=====

No. 8
Material: LiCa2MgPt
Method: DFT, PBE
State: relaxed

Cell lengths 5.547, 5.547, 5.142 Å; angles 90.00, 90.00, 90.00 degrees
Space group P4/mmm (No. 123)
Symmetry-distinct sites (fractional):
Li1 0.000 0.000 0.000 [1 per cell]
Ca1 0.000 0.500 0.500 [2 per cell]
Mg1 0.500 0.500 0.000 [1 per cell]
Pt1 0.500 0.500 0.500 [1 per cell]

Calculated values
Formation energy = -0.383 eV/atom
D(E_F) = 0.396 states/eV/atom